{"formula": "Ir5Os", "functional": "PBE-GGA", "state": "optimized geometry", "cell": [[5.058, 0.000, 0.000], [-2.529, 4.380, 0.000], [0.000, 0.000, 4.471]], "species": ["Ir", "Ir", "Ir", "Ir", "Ir", "Os"], "frac_coords": [[0.000, 0.500, 0.000], [0.333, 0.667, 0.500], [0.500, 0.000, 0.000], [0.500, 0.500, 0.000], [0.667, 0.333, 0.500], [0.000, 0.000, 0.500]], "polymorph_energy_mev_per_atom": 907.1, "volume_a3_per_cell": 99.07, "formation_energy_mev_per_atom": 909.4, "final_energy_ev_per_atom": -8.3464}

***

{"formula": "Ir7Os5", "functional": "PBE-GGA", "state": "optimized geometry", "cell": [[2.731, -8.206, 0.000], [2.731, 8.206, 0.000], [0.000, 0.000, 3.861]], "species": ["Ir", "Ir", "Ir", "Ir", "Ir", "Ir", "Ir", "Os", "Os", "Os", "Os", "Os"], "frac_coords": [[0.000, 0.000, 0.000], [0.170, 0.830, 0.000], [0.171, 0.338, 0.500], [0.338, 0.171, 0.500], [0.662, 0.829, 0.500], [0.829, 0.662, 0.500], [0.830, 0.170, 0.000], [0.000, 0.500, 0.500], [0.333, 0.667, 0.000], [0.500, 0.000, 0.500], [0.500, 0.500, 0.000], [0.667, 0.333, 0.000]], "polymorph_energy_mev_per_atom": 0.0, "volume_a3_per_cell": 173.08, "formation_energy_mev_per_atom": 18.0, "final_energy_ev_per_atom": -9.8300}

***

{"formula": "IrOs2", "functional": "PBE-GGA", "state": "optimized geometry", "cell": [[2.726, 0.000, 0.000], [0.000, 3.859, 0.000], [0.000, 0.000, 8.204]], "species": ["Ir", "Ir", "Os", "Os", "Os", "Os"], "frac_coords": [[0.000, 0.000, 0.000], [0.500, 0.500, 0.500], [0.000, 0.000, 0.330], [0.000, 0.000, 0.670], [0.500, 0.500, 0.170], [0.500, 0.500, 0.830]], "polymorph_energy_mev_per_atom": 70.5, "volume_a3_per_cell": 86.32, "formation_energy_mev_per_atom": 68.3, "final_energy_ev_per_atom": -10.3719}

***

{"formula": "Ir2Os", "functional": "PBE-GGA", "state": "optimized geometry", "cell": [[5.456, 0.000, 0.000], [0.000, 3.856, 0.000], [0.000, 0.000, 8.247]], "species": ["Ir", "Ir", "Ir", "Ir", "Ir", "Ir", "Ir", "Ir", "Os", "Os", "Os", "Os"], "frac_coords": [[0.125, 0.250, 0.245], [0.126, 0.250, 0.583], [0.374, 0.750, 0.083], [0.375, 0.750, 0.745], [0.625, 0.250, 0.255], [0.626, 0.250, 0.917], [0.874, 0.750, 0.417], [0.875, 0.750, 0.755], [0.121, 0.250, 0.922], [0.379, 0.750, 0.422], [0.621, 0.250, 0.578], [0.879, 0.750, 0.078]], "polymorph_energy_mev_per_atom": 16.3, "volume_a3_per_cell": 173.51, "formation_energy_mev_per_atom": 14.0, "final_energy_ev_per_atom": -9.6365}